# SCAN Ti2SbRuF, PBEsol geometry
# Electronic total energy in eV per atom: -22.039
# Total magnetic moment in μB per formula unit: 1.76
# Raw formation energy in eV per atom: -0.502
data_Ti2SbRuF
_chemical_formula_sum 'Ti2 Sb1 Ru1 F1'
_symmetry_space_group_name_H-M 'P 4/m m m'
_symmetry_Int_Tables_number 123
_symmetry_space_group_name_Hall '-P 4 2'
_cell_length_a 4.054
_cell_length_b 4.054
_cell_length_c 4.482
_cell_angle_alpha 90.00
_cell_angle_beta 90.00
_cell_angle_gamma 90.00
loop_
_atom_site_label
_atom_site_type_symbol
_atom_site_fract_x
_atom_site_fract_y
_atom_site_fract_z
Ti1 Ti 0.000 0.500 0.000
Sb1 Sb 0.000 0.000 0.500
Ru1 Ru 0.500 0.500 0.500
F1 F 0.500 0.500 0.000